Record 1
Tb6YEr2Mg | PBE-GGA | relaxed

Geometry as POSCAR:
```
Tb6YEr2Mg
1.0
-3.294 -1.705 5.454
-4.157 -9.109 -4.360
8.771 0.585 6.480
Mg Tb Er Y
2 12 4 2
direct
0.250 0.296 0.704
0.750 0.704 0.296
0.027 0.698 0.535
0.466 0.208 0.916
0.720 0.083 0.564
0.280 0.917 0.436
0.527 0.535 0.698
0.966 0.916 0.208
0.473 0.465 0.302
0.973 0.302 0.465
0.780 0.436 0.917
0.034 0.084 0.792
0.534 0.792 0.084
0.220 0.564 0.083
0.491 0.177 0.349
0.009 0.651 0.823
0.509 0.823 0.651
0.991 0.349 0.177
0.250 0.992 0.008
0.750 0.008 0.992
```

Results
Total moment in Bohr magnetons per cell: 1.0
DOS(E_F) in states/eV per atom: 1.657
Calculated formation energy in eV/atom: 0.116

***

Record 2
Ca2ThCl8 | PBE-GGA | relaxed

Geometry as POSCAR:
```
Ca2ThCl8
1.0
5.481 -0.109 -0.164
-1.061 7.401 -0.148
-1.061 -2.987 6.773
Cl Ca Th
8 2 1
direct
0.500 0.782 0.218
0.500 0.218 0.782
0.660 0.348 0.348
0.083 0.322 0.072
0.340 0.652 0.652
0.083 0.072 0.322
0.917 0.928 0.678
0.917 0.678 0.928
0.000 0.690 0.310
0.000 0.310 0.690
0.500 0.000 0.000
```

Results
Total moment in Bohr magnetons per cell: 0.0
Formation energy from raw total energies in eV per atom: -2.079
DOS(E_F) in states/eV per atom: 0.000